An optimized crystal structure of CrAs2SeO, computed with GGA+U.

```
data_CrAs2SeO
_chemical_formula_sum 'Cr1 As2 Se1 O1'
_cell_length_a 4.6008
_cell_length_b 4.6008
_cell_length_c 4.4842
_cell_angle_alpha 90.00
_cell_angle_beta 90.00
_cell_angle_gamma 90.00
_space_group_name_H-M_alt 'P 4/m m m'
_space_group_IT_number 123
_space_group_name_Hall '-P 4 2'
loop_
_atom_site_label
_atom_site_type_symbol
_atom_site_fract_x
_atom_site_fract_y
_atom_site_fract_z
Cr1 Cr 0.0000 0.0000 0.0000
As1 As 0.0000 0.5000 0.0000
Se1 Se 0.0000 0.0000 0.5000
O1 O 0.5000 0.5000 0.5000
```

Computed properties:
energy above the most stable polymorph in this dataset	341	meV per atom